# 1
{
  "formula": "Ac5Ag2HIr",
  "functional": "PBE",
  "state": "relaxed",
  "lattice": [[2.1608, -9.6055, 0.0000], [2.1608, 9.6055, 0.0000], [0.0000, 0.0000, 13.9441]],
  "species": ["Ac", "Ac", "Ac", "Ac", "Ac", "Ac", "Ac", "Ac", "Ac", "Ac", "Ag", "Ag", "Ag", "Ag", "H", "H", "Ir", "Ir"],
  "fractional_positions": [[0.0008, 0.9992, 0.5000], [0.1427, 0.8573, 0.7556], [0.1976, 0.8024, 0.1133], [0.2013, 0.7987, 0.4037], [0.4516, 0.5484, 0.7404], [0.5484, 0.4516, 0.2404], [0.7987, 0.2013, 0.9037], [0.8024, 0.1976, 0.6133], [0.8573, 0.1427, 0.2556], [0.9992, 0.0008, 0.0000], [0.3780, 0.6220, 0.0708], [0.3792, 0.6208, 0.4405], [0.6208, 0.3792, 0.9405], [0.6220, 0.3780, 0.5708], [0.0667, 0.9333, 0.1490], [0.9333, 0.0667, 0.6490], [0.2967, 0.7033, 0.7582], [0.7033, 0.2967, 0.2582]],
  "dft_energy_ev_per_atom": -4.66,
  "crystal_system": "orthorhombic",
  "dos_at_fermi_per_ev_fu": 8.204,
  "spacegroup": "Cmc2_1"
}

---

# 2
{
  "formula": "La12YHo7",
  "functional": "PBE",
  "state": "relaxed",
  "lattice": [[9.7969, 5.6562, 2.1224], [-9.7969, 5.6562, 2.1224], [0.0000, -11.3125, 2.1224]],
  "species": ["La", "La", "La", "La", "La", "La", "La", "La", "La", "La", "La", "La", "Y", "Ho", "Ho", "Ho", "Ho", "Ho", "Ho", "Ho"],
  "fractional_positions": [[0.0000, 0.4079, 0.5921], [0.0000, 0.5921, 0.4079], [0.0730, 0.0730, 0.4268], [0.0730, 0.4268, 0.0730], [0.4079, 0.0000, 0.5921], [0.4079, 0.5921, 0.0000], [0.4268, 0.0730, 0.0730], [0.5732, 0.9270, 0.9270], [0.5921, 0.0000, 0.4079], [0.5921, 0.4079, 0.0000], [0.9270, 0.5732, 0.9270], [0.9270, 0.9270, 0.5732], [0.5000, 0.5000, 0.5000], [0.0000, 0.0000, 0.0000], [0.1374, 0.3852, 0.3852], [0.3852, 0.1374, 0.3852], [0.3852, 0.3852, 0.1374], [0.6148, 0.6148, 0.8626], [0.6148, 0.8626, 0.6148], [0.8626, 0.6148, 0.6148]],
  "dft_energy_ev_per_atom": -4.69,
  "crystal_system": "trigonal",
  "dos_at_fermi_per_ev_fu": 27.580,
  "ef_kj_per_mol_fu": 378,
  "spacegroup": "R-3m"
}

---

# 3
{
  "formula": "La2ScTc",
  "functional": "PBE",
  "state": "relaxed",
  "lattice": [[3.4205, 0.0000, 0.0000], [0.0000, 3.4588, 0.0000], [-0.8686, 0.0000, 9.0568]],
  "species": ["La", "La", "Sc", "Tc"],
  "fractional_positions": [[0.0000, 0.0000, 0.0000], [0.4810, 0.5000, 0.6580], [0.5666, 0.5000, 0.2955], [0.0864, 0.0000, 0.4558]],
  "dft_energy_ev_per_atom": -6.61,
  "crystal_system": "monoclinic",
  "dos_at_fermi_per_ev_fu": 5.577,
  "ef_kj_per_mol_fu": 12,
  "polymorph_energy_mev_per_atom": 0.0,
  "spacegroup": "Pm"
}

---

# 4
{
  "formula": "LaSi2",
  "functional": "PBE",
  "state": "relaxed",
  "lattice": [[11.2601, 0.0000, 0.0000], [0.0000, 3.9732, 0.0000], [-0.3056, 0.0000, 6.4774]],
  "species": ["La", "La", "La", "La", "Si", "Si", "Si", "Si", "Si", "Si", "Si", "Si"],
  "fractional_positions": [[0.1411, 0.0000, 0.2720], [0.3589, 0.5000, 0.7280], [0.6411, 0.5000, 0.2720], [0.8589, 0.0000, 0.7280], [0.0796, 0.5000, 0.6206], [0.1389, 0.0000, 0.7935], [0.3611, 0.5000, 0.2065], [0.4204, 0.0000, 0.3794], [0.5796, 0.0000, 0.6206], [0.6389, 0.5000, 0.7935], [0.8611, 0.0000, 0.2065], [0.9204, 0.5000, 0.3794]],
  "dft_energy_ev_per_atom": -5.78,
  "crystal_system": "monoclinic",
  "dos_at_fermi_per_ev_fu": 1.565,
  "raw_formation_energy_mev_per_atom": -524,
  "spacegroup": "C2/m"
}

---

# 5
{
  "formula": "HoHfNi2",
  "functional": "PBE",
  "state": "relaxed",
  "lattice": [[4.3920, 0.0000, 0.0000], [-2.1960, 3.8036, 0.0000], [0.0000, 0.0000, 13.1652]],
  "species": ["Ho", "Ho", "Ho", "Hf", "Hf", "Hf", "Ni", "Ni", "Ni", "Ni", "Ni", "Ni"],
  "fractional_positions": [[0.0000, 0.0000, 0.0000], [0.3333, 0.6667, 0.6667], [0.6667, 0.3333, 0.3333], [0.0000, 0.0000, 0.5000], [0.3333, 0.6667, 0.1667], [0.6667, 0.3333, 0.8333], [0.0000, 0.0000, 0.2137], [0.0000, 0.0000, 0.7863], [0.3333, 0.6667, 0.4530], [0.3333, 0.6667, 0.8803], [0.6667, 0.3333, 0.1197], [0.6667, 0.3333, 0.5470]],
  "dft_energy_ev_per_atom": -6.92,
  "crystal_system": "trigonal",
  "dos_at_fermi_per_ev_fu": 3.424,
  "ef_kj_per_mol_fu": -151,
  "polymorph_energy_mev_per_atom": 42.7,
  "spacegroup": "R-3m"
}

---

Please write out number 2 again, unchanged.
{
  "formula": "La12YHo7",
  "functional": "PBE",
  "state": "relaxed",
  "lattice": [[9.7969, 5.6562, 2.1224], [-9.7969, 5.6562, 2.1224], [0.0000, -11.3125, 2.1224]],
  "species": ["La", "La", "La", "La", "La", "La", "La", "La", "La", "La", "La", "La", "Y", "Ho", "Ho", "Ho", "Ho", "Ho", "Ho", "Ho"],
  "fractional_positions": [[0.0000, 0.4079, 0.5921], [0.0000, 0.5921, 0.4079], [0.0730, 0.0730, 0.4268], [0.0730, 0.4268, 0.0730], [0.4079, 0.0000, 0.5921], [0.4079, 0.5921, 0.0000], [0.4268, 0.0730, 0.0730], [0.5732, 0.9270, 0.9270], [0.5921, 0.0000, 0.4079], [0.5921, 0.4079, 0.0000], [0.9270, 0.5732, 0.9270], [0.9270, 0.9270, 0.5732], [0.5000, 0.5000, 0.5000], [0.0000, 0.0000, 0.0000], [0.1374, 0.3852, 0.3852], [0.3852, 0.1374, 0.3852], [0.3852, 0.3852, 0.1374], [0.6148, 0.6148, 0.8626], [0.6148, 0.8626, 0.6148], [0.8626, 0.6148, 0.6148]],
  "dft_energy_ev_per_atom": -4.69,
  "crystal_system": "trigonal",
  "dos_at_fermi_per_ev_fu": 27.580,
  "ef_kj_per_mol_fu": 378,
  "spacegroup": "R-3m"
}